La2HgIr, optimized geometry, DFT GGA-PBE; calculated density = 12.01 g/cm³; formation enthalpy at 0 K = -0.36 eV per atom
1.0
5.081 0.000 0.000
2.540 4.400 0.000
2.540 1.467 4.149
Hg Ir La
1 1 2
Direct
0.500 0.500 0.500 Hg
0.750 0.750 0.750 Ir
0.000 0.000 0.000 La
0.250 0.250 0.250 La